[1]
An optimized crystal structure of TaSb2Ru. Source: Alexandria via LeMat-Bulk, functional PBE.

abc: 5.2313 5.2313 5.1089
angles: 108.22 108.22 35.57
Sites, in units of the cell vectors:
Ta (0.0000, 0.0000, 0.0000)
Sb (0.2428, 0.2428, 0.8480)
Sb (0.4600, 0.4600, 0.4850)
Ru (0.7156, 0.7156, 0.3772)

calculated volume: 76.8 Å³ per cell
E_form (uncorrected): 0.09 eV per atom
ΔE to the lowest computed polymorph: 164 meV/atom

[2]
An optimized crystal structure of HoTl5I8. Source: Alexandria via LeMat-Bulk, functional PBE.

abc: 9.0676 9.0676 9.0676
angles: 109.88 109.88 108.65
Sites, in units of the cell vectors:
Ho (0.0000, 0.0000, 0.0000)
Tl (0.2497, 0.6246, 0.1000)
Tl (0.3754, 0.4753, 0.6251)
Tl (0.5247, 0.1497, 0.9000)
Tl (0.7500, 0.2500, 0.5000)
Tl (0.8503, 0.7503, 0.3749)
I (0.0023, 0.3489, 0.2127)
I (0.1036, 0.2103, 0.7622)
I (0.1361, 0.7896, 0.7873)
I (0.2104, 0.9977, 0.3466)
I (0.4480, 0.3414, 0.2378)
I (0.6511, 0.8639, 0.6534)
I (0.6586, 0.8964, 0.1067)
I (0.7897, 0.5520, 0.8933)

calculated volume: 573.8 Å³ per cell
E_form (uncorrected): -0.81 eV per atom

[3]
An optimized crystal structure of Sr2ZnTe2. Source: Alexandria via LeMat-Bulk, functional PBE.

abc: 7.8598 7.8598 7.8598
angles: 134.62 134.62 66.13
Sites, in units of the cell vectors:
Sr (0.2500, 0.7500, 0.5000)
Sr (0.7500, 0.2500, 0.5000)
Zn (0.0000, 0.0000, 0.0000)
Te (0.3367, 0.3367, 0.0000)
Te (0.6633, 0.6633, 0.0000)

calculated volume: 242.2 Å³ per cell
E_form (uncorrected): -0.91 eV per atom
ΔE to the lowest computed polymorph: 141 meV/atom

[4]
An optimized crystal structure of BaP2RuRh. Source: Alexandria via LeMat-Bulk, functional PBE.

abc: 6.9025 6.9025 6.9025
angles: 146.22 146.22 48.52
Sites, in units of the cell vectors:
Ba (0.0000, 0.0000, 0.0000)
P (0.3468, 0.3468, 0.0000)
P (0.6532, 0.6532, 0.0000)
Ru (0.2500, 0.7500, 0.5000)
Rh (0.7500, 0.2500, 0.5000)

E_form: -0.98 eV/atom
calculated volume: 101.2 Å³ per cell